No. 1
The following is a PBE calculation of a relaxed structure of BeRh2N, from Alexandria.

Summary:
Density of states at the Fermi level ... 8.2 states/eV/cell
Size of the total moment ... 0.00 μB/atom
Energy ... -6.381 eV per atom
Distance to the lowest polymorph of the same formula ... 0.00 kJ per mole of atoms
Crystal system ... tetragonal
Volume ... 13.49 Å³/atom
Energy relative to the elements, uncorrected ... 307.8 meV per atom

Cell: 4.887 4.887 9.039 Å, 90.00 90.00 90.00°
Space group I-42d (No. 122)
Inequivalent atoms, fractional coordinates:
Be: 0.000 0.000 0.000 x4
Rh: 0.206 0.250 0.625 x8
N: 0.000 0.000 0.500 x4


No. 2
The following is a PBE calculation of a relaxed structure of UMoC, from Alexandria.

Summary:
Density of states at the Fermi level ... 10.2 states/eV/cell
Size of the total moment ... 0.44 μB/atom
Energy ... -10.085 eV per atom
Energy relative to the elements ... 363 meV per atom
Distance to the lowest polymorph of the same formula ... 36.09 kJ per mole of atoms
Crystal system ... tetragonal
Volume ... 14.33 Å³/atom

Cell: 2.964 2.964 9.784 Å, 90.00 90.00 90.00°
Space group I4mm (No. 107)
Inequivalent atoms, fractional coordinates:
U: 0.000 0.000 0.000 x2
Mo: 0.000 0.000 0.274 x2
C: 0.000 0.000 0.694 x2